Entry 1:
Hf15Cd2In2 | PBE | optimized geometry

- energy (eV/cell) = -149.03
- space-group type = R-3m

Unit cell a=7.7577 b=7.7577 c=7.7577 alpha=79.53 beta=79.53 gamma=79.53
Last column: nearest neighbours and their distance in Å.
Element x y z (fractional)
Hf (0.0000, 0.0000, 0.5000)  8 Hf 2.99-3.03, 2 Cd 3.08
Hf (0.0000, 0.3049, 0.6951)  6 Hf 2.94-3.03
Hf (0.0000, 0.5000, 0.0000)  8 Hf 2.99-3.03, 2 Cd 3.08
Hf (0.0000, 0.6951, 0.3049)  6 Hf 2.94-3.03
Hf (0.1624, 0.6298, 0.6298)  6 Hf 2.80-2.99
Hf (0.3049, 0.0000, 0.6951)  6 Hf 2.94-3.03
Hf (0.3049, 0.6951, 0.0000)  6 Hf 2.94-3.03
Hf (0.3702, 0.3702, 0.8376)  6 Hf 2.80-2.99
Hf (0.3702, 0.8376, 0.3702)  6 Hf 2.80-2.99
Hf (0.5000, 0.0000, 0.0000)  8 Hf 2.99-3.03, 2 Cd 3.08
Hf (0.6298, 0.1624, 0.6298)  6 Hf 2.80-2.99
Hf (0.6298, 0.6298, 0.1624)  6 Hf 2.80-2.99
Hf (0.6951, 0.0000, 0.3049)  6 Hf 2.94-3.03
Hf (0.6951, 0.3049, 0.0000)  6 Hf 2.94-3.03
Hf (0.8376, 0.3702, 0.3702)  6 Hf 2.80-2.99
Cd (0.0944, 0.0944, 0.0944)  1 Cd 2.96, 3 Hf 3.08
Cd (0.9056, 0.9056, 0.9056)  1 Cd 2.96, 3 Hf 3.08
In (0.3068, 0.3068, 0.3068)  1 Cd 3.33, 12 Hf 3.48-3.61
In (0.6932, 0.6932, 0.6932)  1 Cd 3.33, 12 Hf 3.48-3.61

Entry 2:
Hf6CdIn5 | PBE | optimized geometry

- energy (eV/cell) = -75.87
- space-group type = P2/m

Unit cell a=4.4129 b=8.9162 c=6.9387 alpha=90.00 beta=108.46 gamma=90.00
Last column: nearest neighbours and their distance in Å.
Element x y z (fractional)
Hf (0.0000, 0.2483, 0.0000)  4 Hf 3.11-3.12, 6 In 3.12-3.13, 2 Cd 3.15
Hf (0.0000, 0.7517, 0.0000)  4 Hf 3.11-3.12, 6 In 3.12-3.13, 2 Cd 3.15
Hf (0.3331, 0.2499, 0.6663)  4 Hf 3.11-3.12, 7 In 3.12-3.15, 1 Cd 3.13
Hf (0.3331, 0.7501, 0.6663)  4 Hf 3.11-3.12, 7 In 3.12-3.15, 1 Cd 3.13
Hf (0.6669, 0.2499, 0.3337)  4 Hf 3.11-3.12, 7 In 3.12-3.15, 1 Cd 3.13
Hf (0.6669, 0.7501, 0.3337)  4 Hf 3.11-3.12, 7 In 3.12-3.15, 1 Cd 3.13
Cd (0.5000, 0.5000, 0.0000)  4 In 3.09, 8 Hf 3.13-3.15
In (0.1644, 0.5000, 0.3286)  2 Cd 3.09, 8 Hf 3.12-3.15, 2 In 3.15-3.16
In (0.1669, 0.0000, 0.3340)  4 In 3.10-3.12, 8 Hf 3.12-3.14
In (0.5000, 0.0000, 0.0000)  4 In 3.11-3.12, 8 Hf 3.13
In (0.8331, 0.0000, 0.6660)  4 In 3.10-3.12, 8 Hf 3.12-3.14
In (0.8356, 0.5000, 0.6714)  2 Cd 3.09, 8 Hf 3.12-3.15, 2 In 3.15-3.16

Entry 3:
HfCd3In | PBE | optimized geometry

- space-group type = Pm-3m
- E above lowest polymorph (meV/atom) = 0

Unit cell a=5.6385 b=5.6385 c=5.6385 alpha=90.00 beta=90.00 gamma=90.00
Last column: nearest neighbours and their distance in Å.
Element x y z (fractional)
Hf (0.0000, 0.0000, 0.0000)  6 Cd 2.82
Cd (0.0000, 0.0000, 0.5000)  2 Hf 2.82
Cd (0.0000, 0.5000, 0.0000)  2 Hf 2.82
Cd (0.5000, 0.0000, 0.0000)  2 Hf 2.82
In (0.5000, 0.5000, 0.5000)  12 Cd 3.99

Entry 4:
Hf2CdIn | PBE | optimized geometry

- space-group type = P4/mmm
- E above lowest polymorph (meV/atom) = 7

Unit cell a=3.1126 b=3.1126 c=8.8286 alpha=90.00 beta=90.00 gamma=90.00
Last column: nearest neighbours and their distance in Å.
Element x y z (fractional)
Hf (0.0000, 0.0000, 0.2492)  4 Cd 3.11, 4 Hf 3.11, 4 In 3.12
Hf (0.0000, 0.0000, 0.7508)  4 Cd 3.11, 4 Hf 3.11, 4 In 3.12
Cd (0.5000, 0.5000, 0.0000)  8 Hf 3.11, 4 Cd 3.11
In (0.5000, 0.5000, 0.5000)  4 In 3.11, 8 Hf 3.12

Entry 5:
Hf2CdIn2 | PBE | optimized geometry

- space-group type = P4/mbm
- E above lowest polymorph (meV/atom) = 0

Unit cell a=7.3104 b=7.3104 c=4.2035 alpha=90.00 beta=90.00 gamma=90.00
Last column: nearest neighbours and their distance in Å.
Element x y z (fractional)
Hf (0.1699, 0.3301, 0.0000)  6 In 2.92-3.07
Hf (0.3301, 0.8301, 0.0000)  6 In 2.92-3.07
Hf (0.6699, 0.1699, 0.0000)  6 In 2.92-3.07
Hf (0.8301, 0.6699, 0.0000)  6 In 2.92-3.07
Cd (0.0000, 0.0000, 0.5000)  4 In 2.85
Cd (0.5000, 0.5000, 0.5000)  4 In 2.85
In (0.1338, 0.6338, 0.5000)  1 In 2.77, 2 Cd 2.85, 6 Hf 2.92-3.07
In (0.3662, 0.1338, 0.5000)  1 In 2.77, 2 Cd 2.85, 6 Hf 2.92-3.07
In (0.6338, 0.8662, 0.5000)  1 In 2.77, 2 Cd 2.85, 6 Hf 2.92-3.07
In (0.8662, 0.3662, 0.5000)  1 In 2.77, 2 Cd 2.85, 6 Hf 2.92-3.07

Entry 6:
Hf2Cd3In3 | PBE | optimized geometry

- energy (eV/cell) = -31.57
- space-group type = Pmmm

Unit cell a=4.4055 b=4.4885 c=8.7150 alpha=90.00 beta=90.00 gamma=90.00
Last column: nearest neighbours and their distance in Å.
Element x y z (fractional)
Hf (0.0000, 0.0000, 0.2463)  6 In 3.08-3.12, 6 Cd 3.15
Hf (0.0000, 0.0000, 0.7537)  6 In 3.08-3.12, 6 Cd 3.15
Cd (0.0000, 0.5000, 0.5000)  4 Cd 3.06, 4 In 3.14, 4 Hf 3.15
Cd (0.5000, 0.5000, 0.2559)  2 Cd 3.06, 6 In 3.09-3.16, 4 Hf 3.15
Cd (0.5000, 0.5000, 0.7441)  2 Cd 3.06, 6 In 3.09-3.16, 4 Hf 3.15
In (0.0000, 0.5000, 0.0000)  4 Hf 3.11, 4 Cd 3.13, 4 In 3.14
In (0.5000, 0.0000, 0.0000)  4 Hf 3.08, 4 In 3.14, 4 Cd 3.16
In (0.5000, 0.0000, 0.5000)  8 Cd 3.09-3.14, 4 Hf 3.12